# CoAg2HF6 GGA+U relaxed
data_CoAg2HF6
_chemical_formula_sum 'Co2 Ag4 H2 F12'
_symmetry_space_group_name_H-M 'P 1'
_symmetry_Int_Tables_number 1
_symmetry_space_group_name_Hall 'P 1'
_cell_length_a 4.885
_cell_length_b 4.531
_cell_length_c 11.369
_cell_angle_alpha 90.00
_cell_angle_beta 101.26
_cell_angle_gamma 90.00
loop_
_atom_site_label
_atom_site_fract_x
_atom_site_fract_y
_atom_site_fract_z
Co1 0.000 0.500 0.500
Co2 0.500 0.000 0.000
Ag1 0.030 0.175 0.229
Ag2 0.470 0.675 0.271
Ag3 0.530 0.325 0.729
Ag4 0.970 0.825 0.771
H1 0.000 0.500 0.000
H2 0.500 0.000 0.500
F1 0.905 0.284 0.636
F2 0.855 0.294 0.004
F3 0.784 0.278 0.381
F4 0.716 0.778 0.119
F5 0.645 0.794 0.496
F6 0.595 0.784 0.864
F7 0.405 0.216 0.136
F8 0.355 0.206 0.504
F9 0.284 0.222 0.881
F10 0.145 0.706 0.996
F11 0.216 0.722 0.619
F12 0.095 0.716 0.364
# **E_tot**: -3.962 eV/atom
# **Volume**: 12.3 A^3/atom